Below is a geometry-optimized NaMn4O8 structure, with properties calculated at the PBE+U level.

Cell: 6.0342 6.0342 6.0342 Å, 59.90 59.90 59.90°
Fractional positions:
Mn (0.5000, 0.0000, 0.5000)
Mn (0.0000, 0.5000, 0.5000)
Mn (0.5000, 0.5000, 0.5000)
Mn (0.5000, 0.5000, 0.0000)
O (0.2606, 0.2606, 0.6955)
O (0.2672, 0.2672, 0.2672)
O (0.3045, 0.7394, 0.7394)
O (0.7394, 0.7394, 0.3045)
O (0.7328, 0.7328, 0.7328)
O (0.7394, 0.3045, 0.7394)
O (0.2606, 0.6955, 0.2606)
O (0.6955, 0.2606, 0.2606)
Na (0.0000, 0.0000, 0.0000)

Output
**VASP energy**: -6.845 eV/atom
**Fermi-level density of states**: 0.2796 states/eV per atom
**Energy relative to the lowest polymorph listed for this composition**: 1.917 kcal/mol of atoms